[1]
! GGA-PBE HgGe4Br8, optimized geometry; values from VASP
&SYSTEM
  ibrav = 0, nat = 13, ntyp = 3
/
ATOMIC_SPECIES
Hg 200.59 Hg.upf
Ge 72.64 Ge.upf
Br 79.90 Br.upf
CELL_PARAMETERS angstrom
3.9626 0.0000 0.8583
1.7852 10.3647 1.3342
-0.3151 0.0397 11.0312
ATOMIC_POSITIONS angstrom
Hg 1.7414 0.0735 11.1126
Ge 2.7666 8.6690 6.3796
Ge 3.9953 5.0501 10.2833
Ge 1.5885 5.3847 2.2424
Ge 2.8195 1.7578 6.1355
Br 1.0649 3.2432 4.6598
Br 3.3440 6.8837 3.7142
Br 2.2385 3.5516 8.8180
Br 4.5190 7.1928 7.8655
Br 3.2400 0.0817 4.1944
Br 1.7397 6.8132 11.1206
Br 2.3461 10.3506 8.3209
Br 3.8431 3.6258 1.4098
! - calculated volume (Å³ per atom) = 35.05
! - space group = No. 8
! - ΔE_f (raw) (meV per atom) = -500

[2]
! GGA-PBE La3Rh5, optimized geometry; values from VASP
&SYSTEM
  ibrav = 0, nat = 16, ntyp = 2
/
ATOMIC_SPECIES
Rh 102.91 Rh.upf
La 138.91 La.upf
CELL_PARAMETERS angstrom
9.2064 -0.0014 0.0000
4.6105 7.9633 0.0000
0.0000 0.0000 4.8447
ATOMIC_POSITIONS angstrom
Rh 9.2131 5.3076 0.0000
Rh 4.6082 2.6545 2.4224
Rh 4.6082 2.6545 4.8447
Rh 9.2131 5.3076 2.4223
Rh 6.1838 7.9628 1.2112
Rh 7.6284 -0.0006 3.6335
Rh 8.4171 1.3650 1.2112
Rh 13.0259 6.5978 1.2112
Rh 9.9938 1.3627 3.6335
Rh 5.3966 6.5982 3.6335
La 10.4959 7.9619 1.2112
La 7.9294 7.9627 3.6335
La 6.2706 5.0914 1.2112
La 1.6649 2.8709 1.2112
La 2.9479 5.0903 3.6335
La 7.5498 2.8743 3.6335
! - calculated volume (Å³ per atom) = 22.20
! - ΔE_f (meV/atom) = -368
! - space group = No. 63
! - offset from the most stable computed form (eV per atom) = 0.1548

Total energy list, top to bottom, in eV/atom: -2.973; -6.810